(1)
DFT (GGA-PBEsol) results for CdTe2BrO after structural relaxation.

```
CdTe2BrO
1.0
5.708 0.000 0.000
0.000 5.708 0.000
0.000 0.000 3.924
Cd Te Br O
1 2 1 1
Cartesian
0.000 0.000 0.000
0.000 2.854 0.000
2.854 0.000 0.000
2.854 2.854 1.962
0.000 0.000 1.962
```

Properties
volume	127.9	Å³/f.u.
raw total energy	-13.514	eV for the cell shown
space group	P4/mmm
formation energy (no corrections)	1.85	eV per formula unit

(2)
DFT (GGA-PBEsol) results for SbS8Cl3 after structural relaxation.

```
SbS8Cl3
1.0
8.068 0.000 0.000
-3.081 8.042 0.000
-3.204 -2.321 9.883
Sb S Cl
2 16 6
Cartesian
-0.335 3.024 1.503
2.118 2.697 8.381
-1.980 1.094 4.930
-2.319 -0.603 8.575
-2.368 7.560 1.728
-3.010 4.309 6.506
-0.065 1.481 4.276
0.865 -0.279 3.756
-0.691 -1.767 9.061
-2.583 6.109 7.404
4.365 -0.389 2.479
2.474 7.488 0.822
0.917 5.999 6.127
1.848 4.240 5.607
4.793 1.412 3.377
4.151 -1.840 8.155
4.102 6.323 1.308
3.762 4.627 4.953
-3.246 2.555 9.814
-1.114 4.519 3.213
-0.208 2.571 7.815
1.990 3.149 2.069
2.897 1.202 6.670
5.029 3.166 0.069
```

Properties
volume	320.6	Å³/f.u.
raw total energy	-98.076	eV for the cell shown
space group	P-1
formation energy (no corrections)	-3.38	eV per formula unit

(3)
DFT (GGA-PBEsol) results for Ta5S8 after structural relaxation.

```
Ta5S8
1.0
12.682 -1.615 0.000
12.682 1.615 0.000
-1.183 0.000 5.577
Ta S
5 8
Cartesian
0.000 0.000 0.000
3.129 0.000 0.729
8.985 0.000 2.022
15.197 0.000 3.555
21.053 0.000 4.848
0.747 0.000 4.123
3.865 0.000 4.798
7.063 0.000 3.571
10.188 0.000 4.202
13.994 0.000 1.375
17.119 0.000 2.006
20.317 0.000 0.779
23.435 0.000 1.455
```

Properties
volume	228.4	Å³/f.u.
raw total energy	-112.730	eV for the cell shown
space group	C2/m
formation energy (no corrections)	-14.90	eV per formula unit

(4)
DFT (GGA-PBEsol) results for LaAs2CSe after structural relaxation.

```
LaAs2CSe
1.0
5.692 0.000 0.000
0.000 5.692 0.000
0.000 0.000 5.561
La As C Se
1 2 1 1
Cartesian
0.000 0.000 0.000
0.000 2.846 0.000
2.846 0.000 0.000
2.846 2.846 2.780
0.000 0.000 2.780
```

Properties
volume	180.2	Å³/f.u.
raw total energy	-19.450	eV for the cell shown
energy relative to the lowest polymorph listed for this composition	1.792	eV per atom
space group	P4/mmm
formation energy (no corrections)	9.60	eV per formula unit

(5)
DFT (GGA-PBEsol) results for Cs4Zr3MnP6O24 after structural relaxation.

```
Cs4Zr3MnP6O24
1.0
10.362 0.000 0.000
0.000 10.343 0.000
0.000 0.000 10.366
Cs Zr Mn P O
8 6 2 12 48
Cartesian
0.390 0.000 3.151
1.829 2.864 9.637
3.214 6.652 4.522
4.671 9.465 8.092
5.691 4.293 2.274
7.147 1.481 5.844
8.532 8.036 0.729
9.972 5.171 7.215
1.652 6.410 0.921
3.459 3.048 6.079
4.056 0.691 1.472
6.306 5.862 8.894
6.903 8.219 4.287
8.710 1.239 9.445
1.068 8.820 6.685
9.294 3.649 3.681
0.216 1.709 6.459
1.316 9.688 9.926
2.148 3.430 2.800
2.991 6.023 8.027
3.912 10.155 4.758
4.938 7.740 1.313
5.424 2.569 9.053
6.450 4.984 5.608
7.371 0.852 2.339
8.214 8.601 7.566
9.046 4.517 0.440
10.146 6.880 3.907
0.034 5.276 0.229
0.158 0.247 6.051
0.471 7.804 4.901
0.507 7.057 2.509
0.727 2.930 2.715
1.135 8.236 0.081
1.702 2.191 6.672
1.785 9.761 8.494
2.187 7.088 7.321
2.339 4.780 2.042
2.349 0.053 0.503
2.519 5.805 9.492
2.661 3.620 4.257
2.841 4.663 7.270
2.868 9.455 5.592
3.122 2.418 2.101
3.495 7.237 1.506
3.512 10.167 3.253
4.133 1.283 5.224
4.501 6.393 8.053
4.636 2.408 7.732
4.708 1.705 10.120
4.939 9.213 0.859
5.085 4.237 5.483
5.277 9.408 4.883
5.423 4.042 9.507
5.654 6.876 0.246
5.725 7.579 2.634
5.861 1.222 2.313
6.229 6.454 5.142
6.849 4.996 7.113
6.867 2.066 8.860
7.240 7.589 8.265
7.494 4.283 4.774
7.521 9.835 3.096
7.701 8.791 6.109
7.843 0.634 0.874
8.013 5.224 9.863
8.023 9.951 8.324
8.175 1.917 3.045
8.577 4.590 1.872
8.660 7.363 3.694
9.227 3.065 10.285
9.635 8.102 7.651
9.855 1.886 7.857
9.891 2.632 5.465
10.204 5.419 4.315
10.328 0.104 10.137
```

Properties
volume	555.5	Å³/f.u.
raw total energy	-600.489	eV for the cell shown
space group	P2_1
formation energy (no corrections)	-98.71	eV per formula unit

(6)
DFT (GGA-PBEsol) results for NaPO3 after structural relaxation.

```
NaPO3
1.0
-6.590 6.590 2.963
6.590 -6.590 2.963
6.590 6.590 -2.963
Na P O
8 8 24
Cartesian
5.209 4.469 -1.927
5.209 -2.121 1.927
5.416 1.914 0.446
7.764 4.676 0.446
-1.174 1.914 2.517
1.174 4.676 2.517
1.381 8.710 1.036
1.381 2.121 4.890
1.769 -0.971 0.462
8.914 1.526 1.020
1.769 5.619 -0.462
2.324 1.526 1.943
4.266 5.064 1.020
4.821 0.971 3.424
-2.324 5.064 1.943
4.821 7.561 2.501
5.576 -4.422 2.005
9.858 1.425 -0.290
5.260 6.836 -2.196
7.604 -2.167 2.005
8.460 -0.027 1.192
7.717 2.281 0.523
3.049 1.965 0.714
1.870 -0.027 1.771
3.322 5.165 -0.290
5.260 0.246 2.196
5.462 4.309 0.523
3.541 -1.965 3.677
3.049 8.555 -0.714
1.127 2.281 2.439
1.330 6.344 0.767
3.268 1.425 3.252
4.720 6.617 1.192
3.541 4.625 2.248
-1.127 4.309 2.439
-1.870 6.617 1.771
-1.014 8.757 0.958
1.330 -0.246 5.158
-3.268 5.165 3.252
1.014 11.012 0.958
```

Properties
volume	64.3	Å³/f.u.
raw total energy	-272.654	eV for the cell shown
space group	I4_1/a
formation energy (no corrections)	-11.14	eV per formula unit

(7)
DFT (GGA-PBEsol) results for ScTe3H after structural relaxation.

```
ScTe3H
1.0
5.465 0.000 0.000
0.000 5.465 0.000
0.000 0.000 5.465
Sc Te H
1 3 1
Cartesian
0.000 0.000 0.000
0.000 0.000 2.733
0.000 2.733 0.000
2.733 0.000 0.000
2.733 2.733 2.733
```

Properties
volume	163.2	Å³/f.u.
raw total energy	-19.061	eV for the cell shown
space group	Pm-3m

(8)
DFT (GGA-PBEsol) results for CdPH6NO5 after structural relaxation.

```
CdPH6NO5
1.0
18.119 0.000 0.000
0.000 5.786 0.000
0.000 0.000 4.887
Cd P H N O
4 4 24 4 20
Cartesian
4.229 1.446 0.677
4.830 4.339 3.120
13.289 1.446 1.767
13.890 4.339 4.211
2.649 4.339 1.074
6.410 1.446 3.518
11.709 4.339 1.370
15.470 1.446 3.813
0.397 4.339 4.553
0.417 4.339 2.786
0.771 0.588 1.226
0.771 2.305 1.226
2.761 0.658 3.301
2.761 2.235 3.301
6.299 3.551 0.857
6.299 5.128 0.857
8.289 3.481 3.670
8.289 5.198 3.670
8.642 1.446 0.342
8.663 1.446 2.110
9.456 4.339 2.778
9.477 4.339 4.545
9.831 0.588 1.218
9.831 2.305 1.218
11.820 0.658 4.030
11.820 2.235 4.030
15.358 3.551 1.586
15.358 5.128 1.586
17.348 3.481 3.661
17.348 5.198 3.661
17.702 1.446 2.102
17.722 1.446 0.334
0.184 1.446 1.225
8.875 4.339 3.668
9.244 1.446 1.219
17.935 4.339 3.663
1.106 4.339 1.225
2.637 1.446 3.905
3.041 4.339 4.491
3.247 3.093 1.829
3.247 5.585 1.829
5.813 0.200 4.273
5.813 2.693 4.273
6.018 1.446 2.048
6.423 4.339 1.461
7.954 1.446 3.669
10.165 4.339 1.218
11.696 1.446 3.426
12.101 4.339 2.840
12.306 3.093 0.614
12.306 5.585 0.614
14.872 0.200 3.058
14.872 2.693 3.058
15.078 1.446 0.396
15.482 4.339 0.983
17.013 1.446 3.662
```

Properties
volume	128.1	Å³/f.u.
raw total energy	-316.481	eV for the cell shown
space group	Pnma

(9)
DFT (GGA-PBEsol) results for Ta2NiRh after structural relaxation.

```
Ta2NiRh
1.0
9.036 0.000 0.000
0.000 2.829 0.000
-0.937 0.000 4.655
Ta Ni Rh
4 2 2
Cartesian
0.000 0.000 0.000
1.480 0.000 3.112
4.518 1.414 0.000
5.998 1.414 3.112
3.978 0.000 2.294
8.496 1.414 2.294
2.118 1.414 0.931
6.636 0.000 0.931
```

Properties
volume	59.5	Å³/f.u.
raw total energy	-80.884	eV for the cell shown
calculated formation energy	-0.26	eV/atom
space group	Cm

(10)
DFT (GGA-PBEsol) results for Ta2B2Os after structural relaxation.

```
Ta2B2Os
1.0
5.864 0.000 0.000
0.000 5.864 0.000
0.000 0.000 6.836
Ta B Os
8 8 4
Cartesian
0.962 1.839 0.000
1.093 1.970 3.418
1.839 4.902 0.000
1.970 4.771 3.418
3.894 1.093 3.418
4.025 0.962 0.000
4.771 3.894 3.418
4.902 4.025 0.000
0.672 3.604 1.709
0.672 3.604 5.127
2.260 0.672 1.709
2.260 0.672 5.127
3.604 5.193 1.709
3.604 5.193 5.127
5.193 2.260 1.709
5.193 2.260 5.127
0.000 0.000 1.906
0.000 0.000 4.930
2.932 2.932 1.512
2.932 2.932 5.325
```

Properties
volume	58.8	Å³/f.u.
raw total energy	-219.306	eV for the cell shown
energy relative to the lowest polymorph listed for this composition	0.000	eV per atom
calculated formation energy	-0.70	eV/atom
space group	P4/mnc

(11)
DFT (GGA-PBEsol) results for Ba2CuWO6 after structural relaxation.

```
Ba2CuWO6
1.0
-2.764 2.764 4.374
2.764 -2.764 4.374
2.764 2.764 -4.374
Ba Cu W O
2 1 1 6
Cartesian
2.764 0.000 2.187
0.000 2.764 2.187
0.000 0.000 0.000
0.000 0.000 4.374
4.127 1.391 0.000
1.391 1.401 0.000
0.000 0.000 2.454
0.000 0.000 6.295
1.373 1.363 4.374
-1.363 1.373 4.374
```

Properties
volume	133.7	Å³/f.u.
raw total energy	-76.441	eV for the cell shown
space group	I4/m
formation energy (no corrections)	-22.51	eV per formula unit

(12)
DFT (GGA-PBEsol) results for TlCd3 after structural relaxation.

```
TlCd3
1.0
7.511 0.000 0.000
0.000 10.240 0.000
0.000 0.000 4.843
Tl Cd
4 12
Cartesian
0.000 1.311 1.211
0.000 8.929 3.632
3.756 3.809 3.632
3.756 6.431 1.211
0.000 3.261 3.632
0.000 6.979 1.211
1.554 4.176 1.211
1.554 6.064 3.632
2.201 0.944 3.632
2.201 9.296 1.211
3.756 1.859 1.211
3.756 8.381 3.632
5.310 0.944 3.632
5.310 9.296 1.211
5.957 4.176 1.211
5.957 6.064 3.632
```

Properties
volume	93.1	Å³/f.u.
raw total energy	-23.848	eV for the cell shown
calculated formation energy	0.06	eV/atom
space group	Cmcm

(13)
DFT (GGA-PBEsol) results for CdGaTc2W after structural relaxation.

```
CdGaTc2W
1.0
4.804 0.000 0.000
0.000 4.804 0.000
0.000 0.000 4.415
Cd Ga Tc W
1 1 2 1
Cartesian
0.000 0.000 0.000
0.000 0.000 2.207
0.000 2.402 0.000
2.402 0.000 0.000
2.402 2.402 2.207
```

Properties
volume	101.9	Å³/f.u.
raw total energy	-28.105	eV for the cell shown
calculated formation energy	2.55	eV/atom
space group	P4/mmm

(14)
DFT (GGA-PBEsol) results for LaMnSi2 after structural relaxation.

```
LaMnSi2
1.0
6.016 0.000 0.000
0.000 6.025 0.000
0.000 0.000 4.203
La Mn Si
2 2 4
Cartesian
0.000 0.000 0.000
3.008 3.012 0.000
0.000 3.012 0.000
3.008 0.000 0.000
1.504 1.506 2.101
1.504 4.518 2.101
4.512 1.506 2.101
4.512 4.518 2.101
```

Properties
volume	76.2	Å³/f.u.
raw total energy	-53.203	eV for the cell shown
space group	Cmmm
formation energy (no corrections)	0.00	eV per formula unit

(15)
DFT (GGA-PBEsol) results for TiRhBr3 after structural relaxation.

```
TiRhBr3
1.0
4.950 0.000 0.000
0.000 4.950 0.000
0.000 0.000 4.950
Ti Rh Br
1 1 3
Cartesian
0.000 0.000 0.000
2.475 2.475 2.475
0.000 2.475 2.475
2.475 0.000 2.475
2.475 2.475 0.000
```

Properties
volume	121.3	Å³/f.u.
raw total energy	-20.889	eV for the cell shown
space group	Pm-3m
formation energy (no corrections)	1.18	eV per formula unit

(16)
DFT (GGA-PBEsol) results for UWC2 after structural relaxation.

```
UWC2
1.0
5.587 0.000 0.000
0.000 3.184 0.000
0.000 0.000 10.991
U W C
4 4 8
Cartesian
0.447 0.796 1.557
2.347 2.388 7.053
3.240 0.796 3.938
5.140 2.388 9.434
0.439 2.388 4.370
2.354 0.796 9.865
3.233 2.388 1.125
5.148 0.796 6.621
0.919 0.796 8.296
1.394 2.388 10.911
1.400 0.796 5.416
1.875 2.388 2.801
3.712 0.796 8.190
4.187 2.388 5.575
4.193 0.796 0.080
4.669 2.388 2.695
```

Properties
volume	48.9	Å³/f.u.
raw total energy	-186.708	eV for the cell shown
calculated formation energy	-0.36	eV/atom
space group	Pnma